Record 1
First-principles (PBE) data for a relaxed structure of SrPrNdLu, as listed in the Alexandria database.

## Properties
VASP energy = -14.95 eV for the cell shown
Formation energy = 0.201 eV/atom
DOS(E_F) = 5.72 states/eV/cell

Unit cell a=5.946 b=5.946 c=5.946 alpha=60.00 beta=60.00 gamma=60.00
Fractional coordinates of all 4 atoms:
Nd 0.250 0.250 0.250
Pr 0.750 0.750 0.750
Lu 0.000 0.000 0.000
Sr 0.500 0.500 0.500

***

Record 2
First-principles (PBE) data for a relaxed structure of NaPr2PaTe4, as listed in the Alexandria database.

## Properties
VASP energy = -42.19 eV for the cell shown
DOS(E_F) = 6.58 states/eV/cell

Unit cell a=4.417 b=7.865 c=7.717 alpha=108.67 beta=90.00 gamma=90.00
Site moments in Bohr magnetons follow the coordinates.
Fractional coordinates of all 8 atoms:
Pr 0.000 0.500 0.500  0.06
Pr 0.500 0.000 0.500  0.00
Te 0.500 0.249 0.241  -0.01
Te 0.500 0.751 0.759  -0.01
Te 0.000 0.253 0.761  -0.01
Te 0.000 0.747 0.239  -0.01
Pa 0.500 0.500 0.000  1.17
Na 0.000 0.000 0.000  0.00

***

Record 3
First-principles (PBE) data for a relaxed structure of Ta2GeWAu, as listed in the Alexandria database.

## Properties
VASP energy = -38.35 eV for the cell shown
Formation energy = 1.241 eV/atom
DOS(E_F) = 5.13 states/eV/cell

Unit cell a=4.712 b=4.578 c=4.712 alpha=90.00 beta=90.00 gamma=90.00
Fractional coordinates of all 5 atoms:
W 0.000 0.500 0.000
Au 0.500 0.500 0.500
Ge 0.000 0.000 0.000
Ta 0.500 0.000 0.000
Ta 0.000 0.000 0.500

***

Record 4
First-principles (PBE) data for a relaxed structure of MgPtBr2, as listed in the Alexandria database.

## Properties
Energy above the lowest structure with this stoichiometry = 10.1 kJ per mole of atoms
VASP energy = -13.22 eV for the cell shown

Unit cell a=3.798 b=3.803 c=7.438 alpha=84.55 beta=90.00 gamma=90.00
Fractional coordinates of all 4 atoms:
Br 0.000 0.769 0.907
Br 0.500 0.253 0.349
Mg 0.000 0.495 0.580
Pt 0.500 0.984 0.664

***

Record 5
First-principles (PBE) data for a relaxed structure of Na8TiS6, as listed in the Alexandria database.

## Properties
VASP energy = -119.11 eV for the cell shown
DOS(E_F) = 0.00 states/eV/cell

Unit cell a=8.212 b=7.935 c=11.357 alpha=90.00 beta=90.00 gamma=90.00
Fractional coordinates of all 30 atoms:
Na 0.447 0.732 0.694
Na 0.921 0.198 0.152
Na 0.921 0.802 0.152
Na 0.859 0.813 0.841
Na 0.141 0.313 0.341
Na 0.553 0.768 0.194
Na 0.361 0.000 0.958
Na 0.275 0.000 0.504
Na 0.639 0.500 0.458
Na 0.553 0.232 0.194
Na 0.079 0.698 0.652
Na 0.141 0.687 0.341
Na 0.725 0.500 0.004
Na 0.079 0.302 0.652
Na 0.447 0.268 0.694
Na 0.859 0.187 0.841
S 0.759 0.767 0.607
S 0.241 0.267 0.107
S 0.006 0.500 0.869
S 0.457 0.500 0.874
S 0.287 0.500 0.517
S 0.241 0.733 0.107
S 0.784 0.500 0.236
S 0.759 0.233 0.607
S 0.713 0.000 0.017
S 0.994 0.000 0.369
S 0.216 0.000 0.736
S 0.543 0.000 0.374
Ti 0.766 0.000 0.491
Ti 0.234 0.500 0.991

***

Record 6
First-principles (PBE) data for a relaxed structure of Nd3SmSb3, as listed in the Alexandria database.

## Properties
Energy above the lowest structure with this stoichiometry = 10.1 kJ per mole of atoms
VASP energy = -76.14 eV for the cell shown
DOS(E_F) = 8.55 states/eV/cell

Unit cell a=9.276 b=9.276 c=8.281 alpha=55.94 beta=55.94 gamma=60.00
Fractional coordinates of all 14 atoms:
Sm 0.667 0.667 0.999
Sm 0.333 0.333 0.001
Sb 0.465 0.074 0.764
Sb 0.302 0.535 0.236
Sb 0.535 0.926 0.236
Sb 0.698 0.465 0.764
Sb 0.926 0.302 0.236
Sb 0.074 0.698 0.764
Nd 0.351 0.818 0.738
Nd 0.182 0.907 0.262
Nd 0.907 0.649 0.262
Nd 0.649 0.182 0.262
Nd 0.093 0.351 0.738
Nd 0.818 0.093 0.738